[1]
Compound: La5Pm2Pr4
Source: Alexandria
Functional: PBE-GGA
Structure: optimized geometry

Cell: 7.0409 19.6914 5.8468 Å, 90.00 90.00 90.00°
Last column: nearest neighbours and their distance in Å.
Fractional coordinates of all 22 atoms:
La: 0.0000 0.0000 0.0000  4 Pr 3.53, 2 La 3.72
La: 0.0366 0.4096 0.0000  4 La 3.60-3.83, 2 Pm 3.64, 4 Pr 3.75-3.82
La: 0.1411 0.2237 0.0000  4 Pm 3.58-3.70, 4 La 3.67-3.83, 2 Pr 3.74
La: 0.3589 0.7237 0.0000  4 Pm 3.58-3.70, 4 La 3.67-3.83, 2 Pr 3.74
La: 0.4634 0.9096 0.0000  4 La 3.60-3.83, 2 Pm 3.64, 4 Pr 3.75-3.82
La: 0.5000 0.5000 0.0000  4 Pr 3.53, 2 La 3.72
La: 0.5366 0.0904 0.0000  4 La 3.60-3.83, 2 Pm 3.64, 4 Pr 3.75-3.82
La: 0.6411 0.2763 0.0000  4 Pm 3.58-3.70, 4 La 3.67-3.83, 2 Pr 3.74
La: 0.8589 0.7763 0.0000  4 Pm 3.58-3.70, 4 La 3.67-3.83, 2 Pr 3.74
La: 0.9634 0.5904 0.0000  4 La 3.60-3.83, 2 Pm 3.64, 4 Pr 3.75-3.82
Pm: 0.0797 0.6922 0.5000  3 Pr 3.32-3.63, 6 La 3.58-3.70
Pm: 0.4203 0.1922 0.5000  3 Pr 3.32-3.63, 6 La 3.58-3.70
Pm: 0.5797 0.8078 0.5000  3 Pr 3.32-3.63, 6 La 3.58-3.70
Pm: 0.9203 0.3078 0.5000  3 Pr 3.32-3.63, 6 La 3.58-3.70
Pr: 0.0909 0.8606 0.5000  2 Pr 3.31-3.57, 2 Pm 3.32-3.60
Pr: 0.2224 0.5149 0.5000  3 Pr 3.19-3.57, 2 La 3.53
Pr: 0.2776 0.0149 0.5000  3 Pr 3.19-3.57, 2 La 3.53
Pr: 0.4091 0.3606 0.5000  2 Pr 3.31-3.57, 2 Pm 3.32-3.60
Pr: 0.5909 0.6394 0.5000  2 Pr 3.31-3.57, 2 Pm 3.32-3.60
Pr: 0.7224 0.9851 0.5000  3 Pr 3.19-3.57, 2 La 3.53
Pr: 0.7776 0.4851 0.5000  3 Pr 3.19-3.57, 2 La 3.53
Pr: 0.9091 0.1394 0.5000  2 Pr 3.31-3.57, 2 Pm 3.32-3.60

Calculated values
Formation enthalpy at 0 K in kJ/mol of atoms: 8.1
Total magnetic moment in μB/f.u.: 0.0



[2]
Compound: LaPmPr4
Source: Alexandria
Functional: PBE-GGA
Structure: optimized geometry

Cell: 5.9008 10.1531 9.2969 Å, 90.00 129.33 90.00°
Last column: nearest neighbours and their distance in Å.
Fractional coordinates of all 12 atoms:
La: 0.0000 0.2497 0.2500  2 Pm 3.60, 12 Pr 3.82-3.86
La: 0.0000 0.7503 0.7500  2 Pm 3.60, 12 Pr 3.82-3.86
Pm: 0.5000 0.2499 0.7500  2 La 3.60, 12 Pr 3.83-3.85
Pm: 0.5000 0.7501 0.2500  2 La 3.60, 12 Pr 3.83-3.85
Pr: 0.2494 0.0825 0.9992  5 Pr 3.39-3.61
Pr: 0.2494 0.4179 0.9992  5 Pr 3.39-3.61
Pr: 0.2494 0.5821 0.4992  5 Pr 3.39-3.61
Pr: 0.2494 0.9175 0.4992  5 Pr 3.39-3.61
Pr: 0.7506 0.0825 0.5008  5 Pr 3.39-3.61
Pr: 0.7506 0.4179 0.5008  5 Pr 3.39-3.61
Pr: 0.7506 0.5821 0.0008  5 Pr 3.39-3.61
Pr: 0.7506 0.9175 0.0008  5 Pr 3.39-3.61

Calculated values
Formation enthalpy at 0 K in kJ/mol of atoms: 4.3
Total magnetic moment in μB/f.u.: 0.0



[3]
Compound: LaPm4Pr6
Source: Alexandria
Functional: PBE-GGA
Structure: optimized geometry

Cell: 11.2650 11.2650 3.6651 Å, 90.00 90.00 120.00°
Last column: nearest neighbours and their distance in Å.
Fractional coordinates of all 11 atoms:
La: 0.0000 0.0000 0.0000  6 Pm 3.62, 2 La 3.67, 6 Pr 4.04
Pm: 0.3196 0.1598 0.5000  6 Pr 3.39-3.59, 2 La 3.62, 2 Pm 3.67
Pm: 0.3333 0.6667 0.0000  6 Pr 3.43, 2 Pm 3.67
Pm: 0.8402 0.1598 0.5000  6 Pr 3.39-3.59, 2 La 3.62, 2 Pm 3.67
Pm: 0.8402 0.6804 0.5000  6 Pr 3.39-3.59, 2 La 3.62, 2 Pm 3.67
Pr: 0.1848 0.3696 0.5000  4 Pm 3.39-3.43, 2 Pr 3.67
Pr: 0.1848 0.8152 0.5000  4 Pm 3.39-3.43, 2 Pr 3.67
Pr: 0.5303 0.0605 0.0000  5 Pm 3.59-3.84, 6 Pr 3.67-3.92
Pr: 0.5303 0.4697 0.0000  5 Pm 3.59-3.84, 6 Pr 3.67-3.92
Pr: 0.6304 0.8152 0.5000  4 Pm 3.39-3.43, 2 Pr 3.67
Pr: 0.9395 0.4697 0.0000  5 Pm 3.59-3.84, 6 Pr 3.67-3.92

Calculated values
Formation enthalpy at 0 K in kJ/mol of atoms: 13.7
Total magnetic moment in μB/f.u.: 0.0



[4]
Compound: La2Pm8Pr
Source: Alexandria
Functional: PBE-GGA
Structure: optimized geometry

Cell: 10.4084 10.4084 5.7293 Å, 93.13 93.13 40.34°
Last column: nearest neighbours and their distance in Å.
Fractional coordinates of all 11 atoms:
La: 0.2159 0.2159 0.2597  9 Pm 3.35-3.69
La: 0.7841 0.7841 0.7403  9 Pm 3.35-3.69
Pm: 0.0444 0.0444 0.2383  1 Pm 3.15, 1 La 3.35
Pm: 0.1052 0.6376 0.2663  4 Pm 3.36-3.68, 1 Pr 3.57, 2 La 3.59-3.69
Pm: 0.3151 0.3151 0.7701  4 La 3.41-3.64, 4 Pm 3.55-3.68, 1 Pr 3.77
Pm: 0.3624 0.8948 0.7337  4 Pm 3.36-3.68, 1 Pr 3.57, 2 La 3.59-3.69
Pm: 0.6376 0.1052 0.2663  4 Pm 3.36-3.68, 1 Pr 3.57, 2 La 3.59-3.69
Pm: 0.6849 0.6849 0.2299  4 La 3.41-3.64, 4 Pm 3.55-3.68, 1 Pr 3.77
Pm: 0.8948 0.3624 0.7337  4 Pm 3.36-3.68, 1 Pr 3.57, 2 La 3.59-3.69
Pm: 0.9556 0.9556 0.7617  1 Pm 3.15, 1 La 3.35
Pr: 0.5000 0.5000 0.0000  10 Pm 3.57-3.92

Calculated values
Formation enthalpy at 0 K in kJ/mol of atoms: 15.0
Total magnetic moment in μB/f.u.: 0.0



[5]
Compound: La2Pm3Pr3
Source: Alexandria
Functional: PBE-GGA
Structure: optimized geometry

Cell: 7.1126 7.1126 23.0403 Å, 90.00 90.00 150.48°
Last column: nearest neighbours and their distance in Å.
Fractional coordinates of all 16 atoms:
La: 0.2455 0.7545 0.6271  4 Pm 3.33-3.71, 1 Pr 3.53, 2 La 3.62
La: 0.2455 0.7545 0.8729  4 Pm 3.33-3.71, 1 Pr 3.53, 2 La 3.62
La: 0.7545 0.2455 0.1271  4 Pm 3.33-3.71, 1 Pr 3.53, 2 La 3.62
La: 0.7545 0.2455 0.3729  4 Pm 3.33-3.71, 1 Pr 3.53, 2 La 3.62
Pm: 0.3698 0.6302 0.0047  3 La 3.48-3.71, 5 Pm 3.59-3.77, 4 Pr 3.81-3.83
Pm: 0.3698 0.6302 0.4953  3 La 3.48-3.71, 5 Pm 3.59-3.77, 4 Pr 3.81-3.83
Pm: 0.3728 0.6272 0.7500  2 La 3.33, 1 Pr 3.47, 2 Pm 3.62
Pm: 0.6272 0.3728 0.2500  2 La 3.33, 1 Pr 3.47, 2 Pm 3.62
Pm: 0.6302 0.3698 0.5047  3 La 3.48-3.71, 5 Pm 3.59-3.77, 4 Pr 3.81-3.83
Pm: 0.6302 0.3698 0.9953  3 La 3.48-3.71, 5 Pm 3.59-3.77, 4 Pr 3.81-3.83
Pr: 0.0109 0.9891 0.1235  3 La 3.53-3.81, 4 Pr 3.62-3.91, 6 Pm 3.79-3.83
Pr: 0.0109 0.9891 0.3765  3 La 3.53-3.81, 4 Pr 3.62-3.91, 6 Pm 3.79-3.83
Pr: 0.3753 0.6247 0.2500  3 Pm 3.47-3.86, 2 Pr 3.62, 4 La 3.75
Pr: 0.6247 0.3753 0.7500  3 Pm 3.47-3.86, 2 Pr 3.62, 4 La 3.75
Pr: 0.9891 0.0109 0.6235  3 La 3.53-3.81, 4 Pr 3.62-3.91, 6 Pm 3.79-3.83
Pr: 0.9891 0.0109 0.8765  3 La 3.53-3.81, 4 Pr 3.62-3.91, 6 Pm 3.79-3.83

Calculated values
Formation enthalpy at 0 K in kJ/mol of atoms: 5.1
Total magnetic moment in μB/f.u.: 0.0



[6]
Compound: La3Pm8Pr2
Source: Alexandria
Functional: PBE-GGA
Structure: optimized geometry

Cell: 12.0253 21.4819 3.5898 Å, 90.00 90.00 90.00°
Last column: nearest neighbours and their distance in Å.
Fractional coordinates of all 26 atoms:
La: 0.0000 0.0000 0.0000  4 Pm 3.47-3.65, 4 Pr 3.54, 2 La 3.59
La: 0.1400 0.2978 0.0000  1 Pm 3.16
La: 0.3600 0.7978 0.0000  1 Pm 3.16
La: 0.5000 0.5000 0.0000  4 Pm 3.47-3.65, 4 Pr 3.54, 2 La 3.59
La: 0.6400 0.2022 0.0000  1 Pm 3.16
La: 0.8600 0.7022 0.0000  1 Pm 3.16
Pm: 0.0422 0.4289 0.5000  5 Pm 3.22-3.59, 1 Pr 3.40, 2 La 3.54
Pm: 0.0570 0.1583 0.0000  2 La 3.16-3.47
Pm: 0.1342 0.7130 0.5000  7 Pm 3.59-4.02, 4 La 3.73-3.76
Pm: 0.2121 0.5543 0.0000  9 Pm 3.56-3.96, 1 La 3.65, 2 Pr 3.99
Pm: 0.2879 0.0543 0.0000  9 Pm 3.56-3.96, 1 La 3.65, 2 Pr 3.99
Pm: 0.3658 0.2130 0.5000  7 Pm 3.59-4.02, 4 La 3.73-3.76
Pm: 0.4430 0.6583 0.0000  2 La 3.16-3.47
Pm: 0.4578 0.9289 0.5000  5 Pm 3.22-3.59, 1 Pr 3.40, 2 La 3.54
Pm: 0.5422 0.0711 0.5000  5 Pm 3.22-3.59, 1 Pr 3.40, 2 La 3.54
Pm: 0.5570 0.3417 0.0000  2 La 3.16-3.47
Pm: 0.6342 0.7870 0.5000  7 Pm 3.59-4.02, 4 La 3.73-3.76
Pm: 0.7121 0.9457 0.0000  9 Pm 3.56-3.96, 1 La 3.65, 2 Pr 3.99
Pm: 0.7879 0.4457 0.0000  9 Pm 3.56-3.96, 1 La 3.65, 2 Pr 3.99
Pm: 0.8658 0.2870 0.5000  7 Pm 3.59-4.02, 4 La 3.73-3.76
Pm: 0.9430 0.8417 0.0000  2 La 3.16-3.47
Pm: 0.9578 0.5711 0.5000  5 Pm 3.22-3.59, 1 Pr 3.40, 2 La 3.54
Pr: 0.1800 0.9000 0.5000  3 Pm 3.40-3.59, 4 La 3.54-3.57, 2 Pr 3.59
Pr: 0.3200 0.4000 0.5000  3 Pm 3.40-3.59, 4 La 3.54-3.57, 2 Pr 3.59
Pr: 0.6800 0.6000 0.5000  3 Pm 3.40-3.59, 4 La 3.54-3.57, 2 Pr 3.59
Pr: 0.8200 0.1000 0.5000  3 Pm 3.40-3.59, 4 La 3.54-3.57, 2 Pr 3.59

Calculated values
Formation enthalpy at 0 K in kJ/mol of atoms: 13.2
Total magnetic moment in μB/f.u.: 0.0



[7]
Compound: La4PmPr5
Source: Alexandria
Functional: PBE-GGA
Structure: optimized geometry

Cell: 9.0957 9.0957 11.5102 Å, 90.26 90.26 23.23°
Last column: nearest neighbours and their distance in Å.
Fractional coordinates of all 10 atoms:
La: 0.0292 0.0292 0.2490  4 Pr 3.40-3.46, 2 Pm 3.44, 4 La 3.66-3.76
La: 0.3447 0.3447 0.2508  4 La 3.66-3.76, 7 Pr 3.78-3.99, 1 Pm 4.01
La: 0.6553 0.6553 0.7492  4 La 3.66-3.76, 7 Pr 3.78-3.99, 1 Pm 4.01
La: 0.9708 0.9708 0.7510  4 Pr 3.40-3.46, 2 Pm 3.44, 4 La 3.66-3.76
Pm: 0.5000 0.5000 0.0000  4 La 3.44, 4 Pr 3.64, 2 Pm 3.66
Pr: 0.1731 0.1731 0.0547  2 La 3.41-3.79, 4 Pr 3.53-3.66, 2 Pm 3.64
Pr: 0.1735 0.1735 0.4430  2 La 3.40-3.78, 6 Pr 3.53-3.66
Pr: 0.5000 0.5000 0.5000  4 La 3.46, 6 Pr 3.66
Pr: 0.8265 0.8265 0.5570  2 La 3.40-3.78, 6 Pr 3.53-3.66
Pr: 0.8269 0.8269 0.9453  2 La 3.41-3.79, 4 Pr 3.53-3.66, 2 Pm 3.64

Calculated values
Formation enthalpy at 0 K in kJ/mol of atoms: 15.3
Total magnetic moment in μB/f.u.: 0.0



[8]
Compound: La3PmPr3
Source: Alexandria
Functional: PBE-GGA
Structure: optimized geometry

Cell: 9.9530 9.9530 6.0155 Å, 90.00 90.00 120.00°
Last column: nearest neighbours and their distance in Å.
Fractional coordinates of all 14 atoms:
La: 0.0968 0.6204 0.2500  3 Pm 3.70-3.78, 5 Pr 3.71-3.78, 4 La 3.73-3.74
La: 0.3796 0.4764 0.2500  3 Pm 3.70-3.78, 5 Pr 3.71-3.78, 4 La 3.73-3.74
La: 0.4764 0.0968 0.7500  3 Pm 3.70-3.78, 5 Pr 3.71-3.78, 4 La 3.73-3.74
La: 0.5236 0.9032 0.2500  3 Pm 3.70-3.78, 5 Pr 3.71-3.78, 4 La 3.73-3.74
La: 0.6204 0.5236 0.7500  3 Pm 3.70-3.78, 5 Pr 3.71-3.78, 4 La 3.73-3.74
La: 0.9032 0.3796 0.7500  3 Pm 3.70-3.78, 5 Pr 3.71-3.78, 4 La 3.73-3.74
Pm: 0.3333 0.6667 0.7500  9 La 3.70-3.78, 3 Pr 3.76
Pm: 0.6667 0.3333 0.2500  9 La 3.70-3.78, 3 Pr 3.76
Pr: 0.0487 0.8106 0.7500  6 Pr 3.71-3.76, 5 La 3.71-3.78, 1 Pm 3.76
Pr: 0.1894 0.2380 0.7500  6 Pr 3.71-3.76, 5 La 3.71-3.78, 1 Pm 3.76
Pr: 0.2380 0.0487 0.2500  6 Pr 3.71-3.76, 5 La 3.71-3.78, 1 Pm 3.76
Pr: 0.7620 0.9513 0.7500  6 Pr 3.71-3.76, 5 La 3.71-3.78, 1 Pm 3.76
Pr: 0.8106 0.7620 0.2500  6 Pr 3.71-3.76, 5 La 3.71-3.78, 1 Pm 3.76
Pr: 0.9513 0.1894 0.2500  6 Pr 3.71-3.76, 5 La 3.71-3.78, 1 Pm 3.76

Calculated values
Formation enthalpy at 0 K in kJ/mol of atoms: 3.4
Total magnetic moment in μB/f.u.: 0.0



[9]
Compound: La2Pm5Pr3
Source: Alexandria
Functional: PBE-GGA
Structure: optimized geometry

Cell: 10.2912 10.2912 9.2642 Å, 108.57 108.57 115.24°
Last column: nearest neighbours and their distance in Å.
Fractional coordinates of all 20 atoms:
La: 0.0210 0.2737 0.0434  2 Pr 3.13-3.43, 1 Pm 3.42
La: 0.2737 0.0210 0.5434  2 Pr 3.13-3.43, 1 Pm 3.42
La: 0.7263 0.9790 0.4566  2 Pr 3.13-3.43, 1 Pm 3.42
La: 0.9790 0.7263 0.9566  2 Pr 3.13-3.43, 1 Pm 3.42
Pm: 0.1233 0.3785 0.7496  3 Pr 3.47-3.85, 2 La 3.52-3.53, 3 Pm 3.80-3.85
Pm: 0.2209 0.7791 0.7500  5 Pr 3.39-3.60, 2 La 3.56
Pm: 0.2781 0.7219 0.2500  1 Pm 3.37, 4 La 3.42-3.56, 2 Pr 3.59
Pm: 0.3785 0.1233 0.2496  3 Pr 3.47-3.85, 2 La 3.52-3.53, 3 Pm 3.80-3.85
Pm: 0.4719 0.5281 0.2500  1 Pm 3.37, 4 Pr 3.42-3.60, 2 La 3.58
Pm: 0.5281 0.4719 0.7500  1 Pm 3.37, 4 Pr 3.42-3.60, 2 La 3.58
Pm: 0.6215 0.8767 0.7504  3 Pr 3.47-3.85, 2 La 3.52-3.53, 3 Pm 3.80-3.85
Pm: 0.7219 0.2781 0.7500  1 Pm 3.37, 4 La 3.42-3.56, 2 Pr 3.59
Pm: 0.7791 0.2209 0.2500  5 Pr 3.39-3.60, 2 La 3.56
Pm: 0.8767 0.6215 0.2504  3 Pr 3.47-3.85, 2 La 3.52-3.53, 3 Pm 3.80-3.85
Pr: 0.0261 0.9739 0.7500  1 Pm 3.39, 4 La 3.43-3.61, 2 Pr 3.63
Pr: 0.2321 0.4833 0.4641  1 La 3.13, 4 Pm 3.41-3.48
Pr: 0.4833 0.2321 0.9641  1 La 3.13, 4 Pm 3.41-3.48
Pr: 0.5167 0.7679 0.0359  1 La 3.13, 4 Pm 3.41-3.48
Pr: 0.7679 0.5167 0.5359  1 La 3.13, 4 Pm 3.41-3.48
Pr: 0.9739 0.0261 0.2500  1 Pm 3.39, 4 La 3.43-3.61, 2 Pr 3.63

Calculated values
Formation enthalpy at 0 K in kJ/mol of atoms: 15.4
Total magnetic moment in μB/f.u.: 0.0